No. 1
Below is crystalline FeIrOs at its relaxed geometry, with properties calculated at the PBE level.

Calculated values
The calculation puts the size of the total moment at 1.96 μB per cell. The formation energy is 11.81 kcal/mol of atoms.

Unit cell a=4.005 b=4.005 c=4.005 alpha=60.00 beta=60.00 gamma=60.00
Each line ends with the local moment (μB).
Fractional positions:
1 Fe 0.750 0.750 0.750  1.84
2 Ir 0.000 0.000 0.000  0.18
3 Os 0.500 0.500 0.500  -0.10

---

No. 2
Below is crystalline Al2HgPb at its relaxed geometry, with properties calculated at the PBE level.

Calculated values
The calculation puts the size of the total moment at 0.00 μB per cell. The formation energy is 5.23 kcal/mol of atoms.

Unit cell a=9.056 b=9.056 c=9.056 alpha=22.26 beta=22.26 gamma=22.26
Fractional positions:
1 Pb 0.750 0.750 0.750
2 Hg 0.250 0.250 0.250
3 Al 0.993 0.993 0.993
4 Al 0.507 0.507 0.507

---

No. 3
Below is crystalline Ce2NdIrN4 at its relaxed geometry, with properties calculated at the PBE level.

Calculated values
The calculation puts the size of the total moment at 0.00 μB per cell. As for the uncorrected formation energy: -995 meV/atom.

Unit cell a=3.417 b=6.232 c=11.884 alpha=90.00 beta=90.00 gamma=105.91
Fractional positions:
1 Ce 0.370 0.739 0.551
2 Ce 0.630 0.261 0.051
3 Ce 0.630 0.261 0.449
4 Ce 0.370 0.739 0.949
5 Nd 0.109 0.219 0.750
6 Nd 0.891 0.781 0.250
7 Ir 0.848 0.696 0.750
8 Ir 0.152 0.304 0.250
9 N 0.274 0.548 0.122
10 N 0.726 0.452 0.622
11 N 0.726 0.452 0.878
12 N 0.274 0.548 0.378
13 N 0.000 0.000 0.500
14 N 0.000 0.000 0.000
15 N 0.453 0.905 0.750
16 N 0.547 0.095 0.250

---

No. 4
Below is crystalline Ba2TlOs at its relaxed geometry, with properties calculated at the PBE level.

Calculated values
The calculation puts the size of the total moment at 0.00 μB per cell. The formation energy is 7.08 kcal/mol of atoms.

Unit cell a=8.893 b=8.893 c=8.893 alpha=31.16 beta=31.16 gamma=31.16
Fractional positions:
1 Tl 0.792 0.792 0.792
2 Os 0.458 0.458 0.458
3 Ba 0.042 0.042 0.042
4 Ba 0.208 0.208 0.208